[1]
La3Be2: PBEsol geometry, meta-GGA SCAN.

Output
N(E_F) = 3.8 states/eV/f.u.
E = -136.99 eV/f.u.
Calculated density = 5.9 Mg/m³

a b c (Å): 4.818 4.818 6.133
angles (deg): 90.00 90.00 120.00
Fractional positions:
1 La 0.000 0.000 0.000
2 La 0.333 0.667 0.382
3 La 0.667 0.333 0.618
4 Be 0.333 0.667 0.883
5 Be 0.667 0.333 0.117



[2]
La3Be: PBEsol geometry, meta-GGA SCAN.

Output
N(E_F) = 3.9 states/eV/f.u.
E = -132.49 eV/f.u.
Calculated density = 6.4 Mg/m³

a b c (Å): 5.501 5.501 3.623
angles (deg): 90.00 90.00 90.47
Fractional positions:
1 La 0.000 0.000 0.000
2 La 0.000 0.500 0.500
3 La 0.500 0.000 0.500
4 Be 0.500 0.500 0.000



[3]
LiLa2Be: PBEsol geometry, meta-GGA SCAN.

Output
N(E_F) = 4.2 states/eV/f.u.
E = -92.30 eV/f.u.
Calculated density = 5.0 Mg/m³

a b c (Å): 5.042 5.042 3.805
angles (deg): 90.00 90.00 90.14
Fractional positions:
1 Li 0.000 0.000 0.000
2 La 0.000 0.500 0.500
3 La 0.500 0.000 0.500
4 Be 0.500 0.500 0.000



[4]
LiLa2BeSi: PBEsol geometry, meta-GGA SCAN.

Output
N(E_F) = 5.7 states/eV/f.u.
ΔE_f (raw) = 0.26 eV/atom
Calculated density = 3.7 Mg/m³

a b c (Å): 5.663 5.663 4.497
angles (deg): 90.00 90.00 90.00
Fractional positions:
1 Li 0.000 0.000 0.000
2 La 0.000 0.500 0.500
3 La 0.500 0.000 0.500
4 Be 0.500 0.500 0.000
5 Si 0.000 0.000 0.500



[5]
La3LuBeS7: PBEsol geometry, meta-GGA SCAN.

Output
N(E_F) = 0.0 states/eV/f.u.
ΔE_f (raw) = -2.19 eV/atom
Calculated density = 5.1 Mg/m³

a b c (Å): 10.114 10.114 6.106
angles (deg): 90.00 90.00 120.00
Fractional positions:
1 La 0.142 0.747 0.000
2 La 0.253 0.395 0.000
3 La 0.395 0.142 0.500
4 La 0.605 0.858 0.000
5 La 0.747 0.605 0.500
6 La 0.858 0.253 0.500
7 Lu 0.000 0.000 0.214
8 Lu 0.000 0.000 0.714
9 Be 0.333 0.667 0.591
10 Be 0.667 0.333 0.091
11 S 0.086 0.846 0.463
12 S 0.112 0.520 0.720
13 S 0.154 0.240 0.463
14 S 0.240 0.086 0.963
15 S 0.333 0.667 0.241
16 S 0.408 0.888 0.720
17 S 0.480 0.592 0.720
18 S 0.520 0.408 0.220
19 S 0.592 0.112 0.220
20 S 0.667 0.333 0.741
21 S 0.760 0.914 0.463
22 S 0.846 0.760 0.963
23 S 0.888 0.480 0.220
24 S 0.914 0.154 0.963



[6]
LaMgBe2: PBEsol geometry, meta-GGA SCAN.

Output
N(E_F) = 2.4 states/eV/f.u.
E = -55.74 eV/f.u.
Calculated density = 4.3 Mg/m³

a b c (Å): 2.968 2.968 7.868
angles (deg): 90.00 90.00 90.00
Fractional positions:
1 La 0.000 0.000 0.000
2 Mg 0.500 0.500 0.364
3 Be 0.000 0.000 0.599
4 Be 0.500 0.500 0.711



The highest calculated density belongs to which entry?
La3Be



What is the calculated density in the sixth record?
4.3 Mg/m³



Which of these has the highest N(E_F)?
LiLa2BeSi



What is the calculated density in the third record?
5.0 Mg/m³